[1]
First-principles (PBE) data for a relaxed La6IrOsPt2 crystal, as listed in Alexandria.

Energy relative to the elements, eV/atom: -0.672
DOS(E_F), states/eV/atom: 0.555
Theoretical density, g/cm3: 8.6
Total magnetization, μB per formula unit: 0.00

Lattice parameters (Å, degrees): 7.2989 7.2989 20.1112 90.00 90.00 120.00
Space group R3 (No. 146, hexagonal axes)
Symmetry-distinct sites (fractional):
La 0.0048 0.3475 0.0000 [9 per cell]
La 0.0121 0.6779 0.8347 [9 per cell]
Ir 0.0000 0.0000 0.7518 [3 per cell]
Os 0.0000 0.0000 0.2522 [3 per cell]
Pt 0.0000 0.0000 0.0806 [3 per cell]
Pt 0.0000 0.0000 0.5808 [3 per cell]

---

[2]
First-principles (PBE) data for a relaxed K6Al3Br14 crystal, as listed in Alexandria.

E_form (uncorrected), eV per formula unit: -32.2
DOS(E_F), states/eV/atom: 0.019
Theoretical density, g/cm3: 2.8
Total magnetization, μB per formula unit: 1.00

Lattice parameters (Å, degrees): 12.2252 12.2252 6.5250 90.00 90.00 120.00
Space group P3 (No. 143)
Symmetry-distinct sites (fractional):
K 0.1091 0.3392 0.0000 [3 per cell]
K 0.4457 0.4306 0.5342 [3 per cell]
Al 0.0000 0.0000 0.6156 [1 per cell]
Al 0.3333 0.6667 0.2825 [1 per cell]
Al 0.6667 0.3333 0.1402 [1 per cell]
Br 0.0000 0.0000 0.2616 [1 per cell]
Br 0.0851 0.5894 0.0264 [3 per cell]
Br 0.1924 0.4593 0.4812 [3 per cell]
Br 0.2041 0.1296 0.7432 [3 per cell]
Br 0.4632 0.1989 0.2659 [3 per cell]
Br 0.6667 0.3333 0.7845 [1 per cell]

---

[3]
First-principles (PBE) data for a relaxed Co2SiTc crystal, as listed in Alexandria.

E_form (uncorrected), eV per formula unit: -0.8
DOS(E_F), states/eV/atom: 0.885
Theoretical density, g/cm3: 8.6
Total magnetization, μB per formula unit: 0.00

Lattice parameters (Å, degrees): 5.7262 5.7262 5.7262 90.00 90.00 90.00
Space group F-43m (No. 216)
Symmetry-distinct sites (fractional):
Co 0.0000 0.0000 0.0000 [4 per cell]
Co 0.2500 0.2500 0.2500 [4 per cell]
Si 0.2500 0.2500 0.7500 [4 per cell]
Tc 0.0000 0.0000 0.5000 [4 per cell]

---

[4]
First-principles (PBE) data for a relaxed Pm4CdCu crystal, as listed in Alexandria.

Energy relative to the elements, eV/atom: 0.099
E above lowest polymorph, meV per atom: 232
DOS(E_F), states/eV/atom: 1.567
Theoretical density, g/cm3: 6.6
Total magnetization, μB per formula unit: 0.00

Lattice parameters (Å, degrees): 5.0177 5.0177 7.5278 90.00 90.00 90.00
Space group P4/mmm (No. 123)
Symmetry-distinct sites (fractional):
Pm 0.0000 0.5000 0.2261 [4 per cell]
Cd 0.0000 0.0000 0.5000 [1 per cell]
Cu 0.5000 0.5000 0.0000 [1 per cell]